NdSm2AgN, optimized geometry, DFT GGA-PBE; formation energy from raw total energies = -0.622 eV/atom; energy = -5.70 eV/atom
1.0
-3.9419 2.9340 -0.1234
-1.1280 -1.7036 -4.4707
-2.7776 -3.6440 2.0892
Sm Nd Ag N
2 1 1 1
Direct
0.5000 0.0000 0.9998
0.0000 0.5000 0.9998
0.0000 0.0000 0.4999
0.5000 0.5000 0.5006
0.0000 0.0000 0.9999



NdY2AgN, optimized geometry, DFT GGA-PBE; formation energy from raw total energies = -0.696 eV/atom; energy = -6.47 eV/atom
1.0
-3.6795 2.5736 -1.6330
-2.7342 -1.6560 3.5511
1.4313 3.8997 2.9208
Nd Y Ag N
1 2 1 1
Direct
0.0000 0.0000 0.4999
0.5000 0.0000 0.9999
0.0000 0.5000 0.9999
0.5000 0.5000 0.5002
0.0000 0.0000 0.0000



NiAg2N, optimized geometry, DFT GGA-PBE; formation energy from raw total energies = 1.385 eV/atom; energy = -3.57 eV/atom
1.0
-4.2790 -0.1962 -2.0390
1.9627 -1.7448 -3.9509
-1.9441 -6.8763 -0.7773
Ni Ag N
2 4 2
Direct
0.7500 0.2500 0.5000
0.0000 0.0000 0.0000
0.3750 0.4786 0.7500
0.2286 0.6250 0.2500
0.5214 0.1250 0.2500
0.8750 0.7714 0.7500
0.5000 0.5000 0.0000
0.2500 0.7500 0.5000



Ni3AgN, optimized geometry, DFT GGA-PBE; formation energy from raw total energies = 0.271 eV/atom; energy = -5.43 eV/atom; offset from the most stable computed form = 1.218 eV per formula unit
1.0
16.4433 0.0000 -1.1909
6.3101 1.3503 -3.2311
-6.3101 1.3503 3.2311
Ni Ag N
6 2 2
Direct
0.8055 0.2210 0.7790
0.1945 0.7790 0.2210
0.3358 0.9508 0.0492
0.6642 0.0492 0.9508
0.4444 0.6600 0.3400
0.5556 0.3400 0.6600
0.0498 0.1115 0.8885
0.9502 0.8885 0.1115
0.6422 0.9463 0.0537
0.3578 0.0537 0.9463



Ni3AgN, optimized geometry, DFT GGA-PBE; formation energy from raw total energies = 0.167 eV/atom; energy = -5.54 eV/atom; offset from the most stable computed form = 0.695 eV per formula unit
1.0
-3.7103 1.1361 -9.1766
2.7015 -3.1184 -5.6577
2.1148 -6.1645 2.5611
N Ni Ag
4 12 4
Direct
0.2500 0.5397 0.0397
0.7500 0.1803 0.6803
0.7500 0.4603 0.9603
0.2500 0.8197 0.3197
0.4094 0.1432 0.2412
0.5830 0.3496 0.2722
0.4173 0.3984 0.4670
0.4170 0.6504 0.7278
0.5906 0.8568 0.7588
0.0830 0.2278 0.1504
0.0906 0.7412 0.6432
0.0827 0.9670 0.8984
0.5827 0.6016 0.5330
0.9170 0.7722 0.8496
0.9173 0.0330 0.1016
0.9094 0.2588 0.3568
0.0871 0.4801 0.3880
0.5871 0.1120 0.0199
0.9129 0.5199 0.6120
0.4129 0.8880 0.9801



Ni3AgN, optimized geometry, DFT GGA-PBE; formation energy from raw total energies = 0.315 eV/atom; energy = -5.39 eV/atom; offset from the most stable computed form = 1.439 eV per formula unit
1.0
-3.0368 0.7216 0.4304
0.7938 -2.4829 -1.7700
-0.3642 -8.7855 12.1608
Ag N Ni
2 2 6
Direct
0.0000 0.0000 0.0000
0.0000 0.0000 0.5000
0.3333 0.6667 0.7500
0.6667 0.3333 0.2500
0.0000 0.0000 0.7500
0.3333 0.6667 0.8707
0.6667 0.3333 0.1293
0.6667 0.3333 0.3707
0.0000 0.0000 0.2500
0.3333 0.6667 0.6293



Ni3AgN, optimized geometry, DFT GGA-PBE; formation energy from raw total energies = 0.118 eV/atom; energy = -5.59 eV/atom; offset from the most stable computed form = 0.452 eV per formula unit
1.0
-1.7545 -0.9278 4.3628
-1.1053 -5.6921 1.7339
4.9095 -2.4079 -0.4170
Ni N Ag
6 2 2
Direct
0.3134 0.9742 0.4628
0.0415 0.7172 0.1921
0.7929 0.4863 0.4419
0.5224 0.2368 0.6725
0.7800 0.5078 0.9290
0.0549 0.7110 0.6658
0.4313 0.5969 0.5517
0.7370 0.8487 0.8040
0.2490 0.9937 0.9494
0.5674 0.2324 0.1871



Ni3AgN, optimized geometry, DFT GGA-PBE; formation energy from raw total energies = 0.756 eV/atom; energy = -4.95 eV/atom; offset from the most stable computed form = 3.641 eV per formula unit
1.0
2.7651 0.0000 4.5685
-1.3826 2.3947 4.5685
-1.3826 -2.3947 4.5685
Ag Ni N
1 3 1
Direct
0.8276 0.8276 0.8276
0.8241 0.3300 0.8241
0.8241 0.8241 0.3300
0.3300 0.8241 0.8241
0.0691 0.0691 0.0691



Ni3AgN, optimized geometry, DFT GGA-PBE; formation energy from raw total energies = 1.048 eV/atom; energy = -4.66 eV/atom; offset from the most stable computed form = 5.105 eV per formula unit
1.0
4.0773 0.0000 0.0000
0.0000 4.0773 0.0000
2.0386 2.0386 9.7415
N Ni Ag
2 6 2
Direct
0.8630 0.3630 0.2739
0.6370 0.1370 0.7261
0.3486 0.3486 0.3027
0.6303 0.8760 0.2481
0.6514 0.6514 0.6973
0.1217 0.8760 0.2481
0.1240 0.8783 0.7519
0.1240 0.3697 0.7519
0.2500 0.7500 0.5000
0.0000 0.0000 0.0000



Ni3AgN, optimized geometry, DFT GGA-PBE; formation energy from raw total energies = 0.237 eV/atom; energy = -5.47 eV/atom; offset from the most stable computed form = 1.047 eV per formula unit
1.0
2.7000 6.5457 0.1633
4.9618 3.8384 3.2879
6.0066 3.5218 -1.2966
Ni N Ag
6 2 2
Direct
0.5477 0.8898 0.2225
0.8898 0.2225 0.5477
0.4523 0.1102 0.7775
0.2225 0.5477 0.8898
0.7775 0.4523 0.1102
0.1102 0.7775 0.4523
0.8360 0.8360 0.8360
0.1640 0.1640 0.1640
0.3356 0.3356 0.3356
0.6644 0.6644 0.6644



Ni3AgN, optimized geometry, DFT GGA-PBE; formation energy from raw total energies = 0.382 eV/atom; energy = -5.32 eV/atom; offset from the most stable computed form = 1.770 eV per formula unit
1.0
-3.8193 -2.9326 1.8290
-1.0279 -1.6388 -4.7739
0.6886 -5.9684 -0.8783
Ag Ni N
2 6 2
Direct
0.8943 0.3943 0.2115
0.6057 0.1057 0.7885
0.1402 0.3694 0.7195
0.1402 0.9110 0.7195
0.3714 0.3714 0.2571
0.6306 0.8598 0.2805
0.6286 0.6286 0.7429
0.0890 0.8598 0.2805
0.0000 0.0000 0.0000
0.2500 0.7500 0.5000



Ni3AgN, optimized geometry, DFT GGA-PBE; formation energy from raw total energies = 0.506 eV/atom; energy = -5.20 eV/atom; offset from the most stable computed form = 2.391 eV per formula unit
1.0
-0.4288 2.6017 -0.3764
-6.9620 -1.1623 -0.1025
5.1690 1.5121 4.5635
N Ag Ni
1 1 3
Direct
0.0000 0.4043 0.5957
0.5000 0.1024 0.8976
0.5000 0.1695 0.3201
0.5000 0.6799 0.8305
0.0000 0.2720 0.7280